! NbHgI6 | Alexandria | PBE-GGA | relaxed; values from VASP
&SYSTEM
  ibrav = 0, nat = 8, ntyp = 3
/
ATOMIC_SPECIES
Nb 92.91 Nb.upf
Hg 200.59 Hg.upf
I 126.90 I.upf
ATOMIC_POSITIONS crystal
Nb 0.000 0.000 0.000
Hg 0.500 0.500 0.500
I 0.059 0.400 0.761
I 0.780 0.059 0.761
I 0.600 0.219 0.239
I 0.220 0.941 0.239
I 0.941 0.600 0.239
I 0.400 0.781 0.761
CELL_PARAMETERS angstrom
7.384 0.010 0.008
3.685 6.400 0.012
3.682 2.129 6.646
! Space group   No. 148
! DOS(E_F)   0.442 states/eV/atom
! Final energy   -2.766 eV per atom
! Crystal system   trigonal
! Calculated volume   39.193 A^3/atom
! Energy above the lowest structure with this stoichiometry   33 meV/atom
! Total magnetization   0.00 μB/cell